A plane-wave DFT calculation with meta-GGA SCAN was carried out for a crystal of KTeP2O relaxed with PBEsol.

```
data_KTeP2O
_symmetry_space_group_name_H-M 'P 4/m m m'
_symmetry_Int_Tables_number 123
_symmetry_space_group_name_Hall '-P 4 2'
_cell_length_a 5.2777
_cell_length_b 5.2777
_cell_length_c 4.0871
_cell_angle_alpha 90.00
_cell_angle_beta 90.00
_cell_angle_gamma 90.00
loop_
_atom_site_label
_atom_site_fract_x
_atom_site_fract_y
_atom_site_fract_z
K1 0.0000 0.0000 0.0000
Te1 0.5000 0.5000 0.5000
P1 0.0000 0.5000 0.5000
O1 0.5000 0.5000 0.0000
```

Mass density = 3.6 g cm⁻³
Raw formation energy = 0.207 eV per atom
Uncorrected energy = -71.572 eV for the cell shown
Total moment = 2.2 μB per formula unit

A plane-wave DFT calculation with meta-GGA SCAN was carried out for a crystal of KThP3O10 relaxed with PBEsol.

```
data_KThP3O10
_symmetry_space_group_name_H-M 'P 21 21 21'
_symmetry_Int_Tables_number 19
_cell_length_a 8.2412
_cell_length_b 10.0512
_cell_length_c 10.2302
_cell_angle_alpha 90.00
_cell_angle_beta 90.00
_cell_angle_gamma 90.00
loop_
_symmetry_equiv_pos_as_xyz
'x,y,z'
'-x+1/2,-y,z+1/2'
'x+1/2,-y+1/2,-z'
'-x,y+1/2,-z+1/2'
loop_
_atom_site_label
_atom_site_fract_x
_atom_site_fract_y
_atom_site_fract_z
K1 0.1579 0.0153 0.0795
Th1 0.1121 0.4969 0.0983
P1 0.0256 0.6213 0.7605
P2 0.1983 0.2687 0.3749
P3 0.2282 0.7482 0.3651
O1 0.0120 0.5331 0.8794
O2 0.0959 0.5583 0.6390
O3 0.1009 0.3680 0.2940
O4 0.1213 0.8636 0.4069
O5 0.1283 0.1293 0.3784
O6 0.1298 0.7515 0.7970
O7 0.1460 0.6400 0.2863
O8 0.1485 0.1803 0.7612
O9 0.1720 0.3011 0.9803
O10 0.2422 0.3224 0.5097
```

Mass density = 4.1 g cm⁻³
Raw formation energy = -2.881 eV per atom
Uncorrected energy = -963.873 eV for the cell shown
Total moment = 0.0 μB per formula unit

A plane-wave DFT calculation with meta-GGA SCAN was carried out for a crystal of KTi2P3O12 relaxed with PBEsol.

```
data_KTi2P3O12
_symmetry_space_group_name_H-M 'R -3 c'
_symmetry_Int_Tables_number 167
_symmetry_space_group_name_Hall '-R 3 2"c'
_cell_length_a 8.4417
_cell_length_b 8.4417
_cell_length_c 23.0868
_cell_angle_alpha 90.00
_cell_angle_beta 90.00
_cell_angle_gamma 120.00
loop_
_atom_site_label
_atom_site_fract_x
_atom_site_fract_y
_atom_site_fract_z
K1 0.0000 0.0000 0.0000
Ti1 0.0000 0.0000 0.1487
P1 0.0000 0.2816 0.2500
O1 0.0306 0.1974 0.9024
O2 0.0513 0.2069 0.1968
```

Mass density = 2.9 g cm⁻³
Raw formation energy = -2.842 eV per atom
Uncorrected energy = -1185.054 eV for the cell shown
Total moment = 0.0 μB per formula unit
E above lowest polymorph = 0 meV per atom

A plane-wave DFT calculation with meta-GGA SCAN was carried out for a crystal of KTi2P3O12 relaxed with PBEsol.

```
data_KTi2P3O12
_symmetry_space_group_name_H-M 'P 21 3'
_symmetry_Int_Tables_number 198
_symmetry_space_group_name_Hall 'P 2ac 2ab 3'
_cell_length_a 9.8492
_cell_length_b 9.8492
_cell_length_c 9.8492
_cell_angle_alpha 90.00
_cell_angle_beta 90.00
_cell_angle_gamma 90.00
loop_
_atom_site_label
_atom_site_fract_x
_atom_site_fract_y
_atom_site_fract_z
K1 0.0762 0.0762 0.0762
Ti1 0.0871 0.9129 0.4129
Ti2 0.1384 0.3616 0.6384
P1 0.0463 0.7266 0.1258
O1 0.0002 0.0787 0.3539
O2 0.0191 0.9602 0.8005
O3 0.0251 0.8021 0.2617
O4 0.0828 0.1961 0.7320
```

Mass density = 2.9 g cm⁻³
Raw formation energy = -2.832 eV per atom
Uncorrected energy = -789.345 eV for the cell shown
Total moment = 0.0 μB per formula unit
E above lowest polymorph = 10 meV per atom

A plane-wave DFT calculation with meta-GGA SCAN was carried out for a crystal of K2Ti2P3O12 relaxed with PBEsol.

```
data_K2Ti2P3O12
_symmetry_space_group_name_H-M 'P 21 3'
_symmetry_Int_Tables_number 198
_symmetry_space_group_name_Hall 'P 2ac 2ab 3'
_cell_length_a 9.9279
_cell_length_b 9.9279
_cell_length_c 9.9279
_cell_angle_alpha 90.00
_cell_angle_beta 90.00
_cell_angle_gamma 90.00
loop_
_atom_site_label
_atom_site_fract_x
_atom_site_fract_y
_atom_site_fract_z
K1 0.0693 0.4307 0.5693
K2 0.2042 0.7958 0.2958
Ti1 0.0871 0.5871 0.9129
Ti2 0.1415 0.1415 0.1415
P1 0.0432 0.7739 0.6270
O1 0.0003 0.4209 0.8521
O2 0.0217 0.6992 0.7615
O3 0.0230 0.5465 0.2983
O4 0.0793 0.3090 0.2335
```

Mass density = 3.1 g cm⁻³
Raw formation energy = -2.813 eV per atom
Uncorrected energy = -832.532 eV for the cell shown
Total moment = 1.0 μB per formula unit

A plane-wave DFT calculation with meta-GGA SCAN was carried out for a crystal of K2YTiP3O12 relaxed with PBEsol.

```
data_K2YTiP3O12
_symmetry_space_group_name_H-M 'P 21 3'
_symmetry_Int_Tables_number 198
_symmetry_space_group_name_Hall 'P 2ac 2ab 3'
_cell_length_a 10.1687
_cell_length_b 10.1687
_cell_length_c 10.1687
_cell_angle_alpha 90.00
_cell_angle_beta 90.00
_cell_angle_gamma 90.00
loop_
_atom_site_label
_atom_site_fract_x
_atom_site_fract_y
_atom_site_fract_z
K1 0.0743 0.0743 0.0743
K2 0.1995 0.6995 0.8005
Y1 0.0783 0.9217 0.4217
Ti1 0.1422 0.3578 0.6422
P1 0.0509 0.7476 0.1147
O1 0.0087 0.1147 0.3485
O2 0.0140 0.2980 0.5143
O3 0.0251 0.8492 0.2226
O4 0.0846 0.2008 0.7382
```

Mass density = 3.2 g cm⁻³
Raw formation energy = -2.945 eV per atom
Uncorrected energy = -889.851 eV for the cell shown
Total moment = 0.0 μB per formula unit

A plane-wave DFT calculation with meta-GGA SCAN was carried out for a crystal of KTlP2O relaxed with PBEsol.

```
data_KTlP2O
_symmetry_space_group_name_H-M 'P 4/m m m'
_symmetry_Int_Tables_number 123
_symmetry_space_group_name_Hall '-P 4 2'
_cell_length_a 5.2324
_cell_length_b 5.2324
_cell_length_c 4.4174
_cell_angle_alpha 90.00
_cell_angle_beta 90.00
_cell_angle_gamma 90.00
loop_
_atom_site_label
_atom_site_fract_x
_atom_site_fract_y
_atom_site_fract_z
K1 0.0000 0.0000 0.0000
Tl1 0.5000 0.5000 0.5000
P1 0.0000 0.5000 0.5000
O1 0.5000 0.5000 0.0000
```

Mass density = 4.4 g cm⁻³
Raw formation energy = 0.505 eV per atom
Uncorrected energy = -105.191 eV for the cell shown
Total moment = 2.8 μB per formula unit

A plane-wave DFT calculation with meta-GGA SCAN was carried out for a crystal of K4UP2O10 relaxed with PBEsol.

```
data_K4UP2O10
_symmetry_space_group_name_H-M 'P 42/n m c'
_symmetry_Int_Tables_number 137
_cell_length_a 6.8707
_cell_length_b 6.8707
_cell_length_c 11.8702
_cell_angle_alpha 90.00
_cell_angle_beta 90.00
_cell_angle_gamma 90.00
loop_
_symmetry_equiv_pos_as_xyz
'x,y,z'
'-x,-y,-z'
'-y+1/2,x,z+1/2'
'y+1/2,-x,-z+1/2'
'-x+1/2,-y+1/2,z'
'x+1/2,y+1/2,-z'
'y,-x+1/2,z+1/2'
'-y,x+1/2,-z+1/2'
'x+1/2,-y,-z'
'-x+1/2,y,z'
'-y,-x,-z+1/2'
'y,x,z+1/2'
'-x,y+1/2,-z'
'x,-y+1/2,z'
'y+1/2,x+1/2,-z+1/2'
'-y+1/2,-x+1/2,z+1/2'
loop_
_atom_site_label
_atom_site_fract_x
_atom_site_fract_y
_atom_site_fract_z
K1 0.0021 0.2500 0.0774
U1 0.2500 0.7500 0.2500
P1 0.2500 0.2500 0.3310
O1 0.0648 0.2500 0.4023
O2 0.0737 0.2500 0.7451
O3 0.2500 0.7500 0.0946
```

Mass density = 3.7 g cm⁻³
Raw formation energy = -2.730 eV per atom
Uncorrected energy = -532.736 eV for the cell shown
Total moment = 0.2 μB per formula unit